# 1
# PBE-GGA BaPaAsO2, relaxed
data_BaPaAsO2
_cell_length_a 4.419
_cell_length_b 4.419
_cell_length_c 5.823
_cell_angle_alpha 90.00
_cell_angle_beta 90.00
_cell_angle_gamma 90.00
_space_group_name_H-M_alt 'P 4 m m'
_space_group_IT_number 99
loop_
_space_group_symop_operation_xyz
'x,y,z'
'-y,x,z'
'-x,-y,z'
'y,-x,z'
'-x,y,z'
'y,x,z'
'x,-y,z'
'-y,-x,z'
loop_
_atom_site_label
_atom_site_type_symbol
_atom_site_fract_x
_atom_site_fract_y
_atom_site_fract_z
_atom_site_occupancy
Ba1 Ba 0.000 0.000 0.000 1
Pa1 Pa 0.500 0.500 0.386 1
As1 As 0.500 0.500 0.870 1
O1 O 0.000 0.500 0.339 1
# Raw total energy ... -7.714 eV/atom
# ΔE_f (raw) ... -2.52 eV/atom

# 2
# PBE-GGA SrEu2Dy, relaxed
data_SrEu2Dy
_cell_length_a 8.667
_cell_length_b 8.667
_cell_length_c 8.667
_cell_angle_alpha 90.00
_cell_angle_beta 90.00
_cell_angle_gamma 90.00
_space_group_name_H-M_alt 'F m -3 m'
_space_group_IT_number 225
_space_group_name_Hall '-F 4 2 3'
loop_
_atom_site_label
_atom_site_type_symbol
_atom_site_fract_x
_atom_site_fract_y
_atom_site_fract_z
_atom_site_occupancy
Sr1 Sr 0.000 0.000 0.000 1
Eu1 Eu 0.250 0.250 0.250 1
Dy1 Dy 0.000 0.000 0.500 1
# Energy relative to the elements ... 153.9 meV per atom
# Raw total energy ... -6.554 eV/atom
# Energy relative to the lowest polymorph listed for this composition ... 0.061 eV per atom

# 3
# PBE-GGA TcTeIr2, relaxed
data_TcTeIr2
_cell_length_a 9.532
_cell_length_b 2.970
_cell_length_c 4.663
_cell_angle_alpha 90.00
_cell_angle_beta 95.40
_cell_angle_gamma 90.00
_space_group_name_H-M_alt 'C 1 2/m 1'
_space_group_IT_number 12
loop_
_space_group_symop_operation_xyz
'x,y,z'
'-x,-y,-z'
'-x,y,-z'
'x,-y,z'
'x+1/2,y+1/2,z'
'-x+1/2,-y+1/2,-z'
'-x+1/2,y+1/2,-z'
'x+1/2,-y+1/2,z'
loop_
_atom_site_label
_atom_site_type_symbol
_atom_site_fract_x
_atom_site_fract_y
_atom_site_fract_z
_atom_site_occupancy
Tc1 Tc 0.000 0.000 0.000 1
Te1 Te 0.000 0.500 0.500 1
Ir1 Ir 0.234 0.500 0.229 1
# Raw total energy ... -7.460 eV/atom
# ΔE_f (raw) ... 0.35 eV/atom

# 4
# PBE-GGA Pr4Cd3Ag, relaxed
data_Pr4Cd3Ag
_cell_length_a 3.638
_cell_length_b 5.012
_cell_length_c 12.625
_cell_angle_alpha 90.00
_cell_angle_beta 90.00
_cell_angle_gamma 90.00
_space_group_name_H-M_alt 'P m m 2'
_space_group_IT_number 25
loop_
_space_group_symop_operation_xyz
'x,y,z'
'-x,-y,z'
'-x,y,z'
'x,-y,z'
loop_
_atom_site_label
_atom_site_type_symbol
_atom_site_fract_x
_atom_site_fract_y
_atom_site_fract_z
_atom_site_occupancy
Pr1 Pr 0.000 0.000 0.000 1
Pr2 Pr 0.000 0.500 0.306 1
Pr3 Pr 0.500 0.000 0.492 1
Pr4 Pr 0.500 0.500 0.813 1
Cd1 Cd 0.000 0.000 0.722 1
Cd2 Cd 0.000 0.500 0.583 1
Cd3 Cd 0.500 0.500 0.087 1
Ag1 Ag 0.500 0.000 0.224 1
# Energy relative to the elements ... -255.3 meV per atom
# Raw total energy ... -3.345 eV/atom
# Energy relative to the lowest polymorph listed for this composition ... 0.044 eV per atom